No. 1
The following is a DFT calculation (PBE-GGA) of a relaxed Rb2ZrPBr6 crystal.

Geometry as POSCAR:
```
Rb2ZrPBr6
1.0
-3.816 3.816 6.385
3.816 -3.816 6.385
3.816 3.816 -6.385
Rb Zr P Br
2 1 1 6
Direct
0.250 0.750 0.500 Rb
0.750 0.250 0.500 Rb
0.000 0.000 0.000 Zr
0.500 0.500 0.000 P
0.211 0.211 0.000 Br
0.248 0.248 0.495 Br
0.248 0.752 0.000 Br
0.752 0.248 0.000 Br
0.752 0.752 0.505 Br
0.789 0.789 0.000 Br
```

Properties
Crystal system: tetragonal
Raw formation energy, eV per atom: -1.00

---

No. 2
The following is a DFT calculation (PBE-GGA) of a relaxed SrNiHg2 crystal.

Geometry as POSCAR:
```
SrNiHg2
1.0
-2.611 2.611 8.738
2.611 -2.611 8.738
2.611 2.611 -8.738
Sr Ni Hg
2 2 4
Direct
0.000 0.000 0.000 Sr
0.750 0.250 0.500 Sr
0.250 0.750 0.500 Ni
0.500 0.500 0.000 Ni
0.269 0.625 0.144 Hg
0.375 0.519 0.644 Hg
0.481 0.125 0.856 Hg
0.875 0.731 0.356 Hg
```

Properties
Formation energy from the elements, eV per atom: 0.001
Crystal system: tetragonal

---

No. 3
The following is a DFT calculation (PBE-GGA) of a relaxed NdHoAl crystal.

Geometry as POSCAR:
```
NdHoAl
1.0
4.764 0.000 0.000
0.000 4.764 0.000
0.000 0.000 7.683
Nd Ho Al
2 2 2
Direct
0.250 0.250 0.211 Nd
0.750 0.750 0.789 Nd
0.250 0.250 0.740 Ho
0.750 0.750 0.260 Ho
0.250 0.750 0.500 Al
0.750 0.250 0.500 Al
```

Properties
Excess energy over the best structure of this formula in the dataset, kJ per mole of atoms: 13.6
Formation energy from the elements, eV per atom: -0.086
Crystal system: tetragonal

---

| no. | total magnetization (μB per formula unit) |
| --- | --- |
| 1 | 1.00 |
| 2 | 0.00 |
| 3 | 0.00 |